(A)
This record from Alexandria describes a relaxed GaAgRh3 crystal. The functional is GGA-PBE.

```
data_GaAgRh3
_cell_length_a 4.818
_cell_length_b 4.818
_cell_length_c 4.818
_cell_angle_alpha 90.00
_cell_angle_beta 90.00
_cell_angle_gamma 90.00
_symmetry_space_group_name_H-M 'P m -3 m'
_symmetry_Int_Tables_number 221
_symmetry_space_group_name_Hall '-P 4 2 3'
loop_
_atom_site_label
_atom_site_type_symbol
_atom_site_fract_x
_atom_site_fract_y
_atom_site_fract_z
Ga1 Ga 0.000 0.000 0.000
Ag1 Ag 0.500 0.500 0.500
Rh1 Rh 0.000 0.500 0.500
```

Output
Spin magnetization   0.355 μB/atom

***

(B)
This record from Alexandria describes a relaxed GaAgRh3 crystal. The functional is GGA-PBE.

```
data_GaAgRh3
_cell_length_a 4.558
_cell_length_b 4.558
_cell_length_c 4.558
_cell_angle_alpha 90.00
_cell_angle_beta 90.00
_cell_angle_gamma 90.00
_symmetry_space_group_name_H-M 'P m -3 m'
_symmetry_Int_Tables_number 221
_symmetry_space_group_name_Hall '-P 4 2 3'
loop_
_atom_site_label
_atom_site_type_symbol
_atom_site_fract_x
_atom_site_fract_y
_atom_site_fract_z
Ga1 Ga 0.000 0.000 0.000
Ag1 Ag 0.500 0.500 0.500
Rh1 Rh 0.000 0.000 0.500
```

Output
Spin magnetization   0.299 μB/atom

***

The winner here is (B), beating the second structure by 831 meV per atom.

***

(A)
This record from Alexandria describes a relaxed GaAg3S crystal. The functional is GGA-PBE.

```
data_GaAg3S
_cell_length_a 4.903
_cell_length_b 4.903
_cell_length_c 4.903
_cell_angle_alpha 90.00
_cell_angle_beta 90.00
_cell_angle_gamma 90.00
_symmetry_space_group_name_H-M 'P m -3 m'
_symmetry_Int_Tables_number 221
_symmetry_space_group_name_Hall '-P 4 2 3'
loop_
_atom_site_label
_atom_site_type_symbol
_atom_site_fract_x
_atom_site_fract_y
_atom_site_fract_z
Ga1 Ga 0.000 0.000 0.000
Ag1 Ag 0.000 0.500 0.500
S1 S 0.500 0.500 0.500
```

Output
Spin magnetization   0.000 μB/atom

***

(B)
This record from Alexandria describes a relaxed GaAg3S crystal. The functional is GGA-PBE.

```
data_GaAg3S
_cell_length_a 4.884
_cell_length_b 4.884
_cell_length_c 4.884
_cell_angle_alpha 90.00
_cell_angle_beta 90.00
_cell_angle_gamma 90.00
_symmetry_space_group_name_H-M 'P m -3 m'
_symmetry_Int_Tables_number 221
_symmetry_space_group_name_Hall '-P 4 2 3'
loop_
_atom_site_label
_atom_site_type_symbol
_atom_site_fract_x
_atom_site_fract_y
_atom_site_fract_z
Ga1 Ga 0.000 0.000 0.000
Ag1 Ag 0.000 0.000 0.500
S1 S 0.500 0.500 0.500
```

Output
Spin magnetization   0.000 μB/atom

***

The winner here is (A), beating the second structure by 348 meV per atom.